# SnB3O

A PBEsol-optimized structure of SnB3O (SCAN, Alexandria). Values from VASP.

```
&SYSTEM
  ibrav = 0, nat = 5, ntyp = 3
/
ATOMIC_SPECIES
Sn 118.71 Sn.upf
B 10.81 B.upf
O 16.00 O.upf
ATOMIC_POSITIONS angstrom
Sn 0.0000 0.0000 0.0000
B 0.0000 0.0000 2.2048
B 0.0000 2.2048 0.0000
B 2.2048 0.0000 0.0000
O 2.2048 2.2048 2.2048
CELL_PARAMETERS angstrom
4.4096 0.0000 0.0000
0.0000 4.4096 0.0000
0.0000 0.0000 4.4096
```

Properties
- uncorrected energy (eV/atom) = -10.262
- space-group type = Pm-3m
- formation energy without anion corrections (eV per atom) = 2.63
- volume (Å³/cell) = 85.7

# H2Rh2Pb

A PBEsol-optimized structure of H2Rh2Pb (SCAN, Alexandria). Values from VASP.

```
&SYSTEM
  ibrav = 0, nat = 10, ntyp = 3
/
ATOMIC_SPECIES
H 1.01 H.upf
Rh 102.91 Rh.upf
Pb 207.20 Pb.upf
ATOMIC_POSITIONS angstrom
H 0.0000 1.6523 2.5412
H 0.0000 1.6523 7.6237
H 1.6523 0.0000 2.5412
H 1.6523 0.0000 7.6237
Rh 0.0000 0.0000 1.6033
Rh 0.0000 0.0000 8.5616
Rh 1.6523 1.6523 3.4792
Rh 1.6523 1.6523 6.6857
Pb 0.0000 0.0000 5.0824
Pb 1.6523 1.6523 0.0000
CELL_PARAMETERS angstrom
3.3045 0.0000 0.0000
0.0000 3.3045 0.0000
0.0000 0.0000 10.1649
```

Properties
- uncorrected energy (eV/atom) = -29.972
- space-group type = I4/mmm
- volume (Å³/cell) = 111.0

# Mg2TiCl

A PBEsol-optimized structure of Mg2TiCl (SCAN, Alexandria). Values from VASP.

```
&SYSTEM
  ibrav = 0, nat = 16, ntyp = 3
/
ATOMIC_SPECIES
Mg 24.30 Mg.upf
Ti 47.87 Ti.upf
Cl 35.45 Cl.upf
ATOMIC_POSITIONS angstrom
Mg 1.6220 1.9466 0.7035
Mg 1.9466 5.5152 2.1104
Mg 1.9466 6.1643 4.9243
Mg 2.2712 1.9466 3.5174
Mg 5.5152 5.8397 3.5174
Mg 5.8397 1.6220 4.9243
Mg 5.8397 2.2712 2.1104
Mg 6.1643 5.8397 0.7035
Ti 0.0000 0.0000 2.8139
Ti 0.0000 3.8932 4.2209
Ti 3.8932 0.0000 1.4070
Ti 3.8932 3.8932 0.0000
Cl 0.0000 0.0000 0.0000
Cl 0.0000 3.8932 1.4070
Cl 3.8932 0.0000 4.2209
Cl 3.8932 3.8932 2.8139
CELL_PARAMETERS angstrom
7.7863 0.0000 0.0000
0.0000 7.7863 0.0000
0.0000 0.0000 5.6278
```

Properties
- uncorrected energy (eV/atom) = -8.534
- space-group type = I-42d
- formation energy without anion corrections (eV per atom) = -0.05
- volume (Å³/cell) = 341.2

# Tc2RuPt

A PBEsol-optimized structure of Tc2RuPt (SCAN, Alexandria). Values from VASP.

```
&SYSTEM
  ibrav = 0, nat = 8, ntyp = 3
/
ATOMIC_SPECIES
Tc 98.00 Tc.upf
Ru 101.07 Ru.upf
Pt 195.08 Pt.upf
ATOMIC_POSITIONS angstrom
Tc 0.0000 1.9011 1.9271
Tc 0.0000 1.9011 5.7812
Tc 1.9011 0.0000 1.9271
Tc 1.9011 0.0000 5.7812
Ru 0.0000 0.0000 0.0000
Ru 1.9011 1.9011 3.8542
Pt 0.0000 0.0000 3.8542
Pt 1.9011 1.9011 0.0000
CELL_PARAMETERS angstrom
3.8023 0.0000 0.0000
0.0000 3.8023 0.0000
0.0000 0.0000 7.7083
```

Properties
- uncorrected energy (eV/atom) = -43.912
- polymorph energy (0 for the lowest one) (meV per atom) = 90
- formation energy (meV/atom) = -128
- space-group type = I4/mmm
- volume (Å³/cell) = 111.4

# In2Pt2Au

A PBEsol-optimized structure of In2Pt2Au (SCAN, Alexandria). Values from VASP.

```
&SYSTEM
  ibrav = 0, nat = 10, ntyp = 3
/
ATOMIC_SPECIES
In 114.82 In.upf
Pt 195.08 Pt.upf
Au 196.97 Au.upf
ATOMIC_POSITIONS angstrom
In 1.1780 2.4792 0.0000
In 2.4792 6.1365 0.0000
In 4.8353 1.1780 0.0000
In 6.1365 4.8353 0.0000
Pt 1.0179 4.6752 1.6901
Pt 2.6394 1.0179 1.6901
Pt 4.6752 6.2966 1.6901
Pt 6.2966 2.6394 1.6901
Au 0.0000 0.0000 1.6901
Au 3.6573 3.6573 1.6901
CELL_PARAMETERS angstrom
7.3145 0.0000 0.0000
0.0000 7.3145 0.0000
0.0000 0.0000 3.3802
```

Properties
- uncorrected energy (eV/atom) = -55.666
- polymorph energy (0 for the lowest one) (meV per atom) = 0
- formation energy (meV/atom) = -402
- space-group type = P4/mbm
- volume (Å³/cell) = 180.8

# N

A PBEsol-optimized structure of N (SCAN, Alexandria). Values from VASP.

```
&SYSTEM
  ibrav = 0, nat = 4, ntyp = 1
/
ATOMIC_SPECIES
N 14.01 N.upf
ATOMIC_POSITIONS angstrom
N 0.0000 1.5728 0.4552
N 0.0000 4.7184 2.7773
N 1.0843 1.5728 1.1610
N 1.0843 4.7184 2.0715
CELL_PARAMETERS angstrom
2.1686 0.0000 0.0000
0.0000 6.2912 0.0000
0.0000 0.0000 3.2325
```

Properties
- uncorrected energy (eV/atom) = -8.226
- polymorph energy (0 for the lowest one) (meV per atom) = 1065
- space-group type = Imma
- formation energy without anion corrections (eV per atom) = 1.07
- volume (Å³/cell) = 44.1

# Ba2NaLiCa

A PBEsol-optimized structure of Ba2NaLiCa (SCAN, Alexandria). Values from VASP.

```
&SYSTEM
  ibrav = 0, nat = 5, ntyp = 4
/
ATOMIC_SPECIES
Ba 137.33 Ba.upf
Na 22.99 Na.upf
Li 6.94 Li.upf
Ca 40.08 Ca.upf
ATOMIC_POSITIONS angstrom
Ba 0.0000 3.3006 0.0000
Ba 3.3006 0.0000 0.0000
Na 0.0000 0.0000 2.7309
Li 0.0000 0.0000 0.0000
Ca 3.3006 3.3006 2.7309
CELL_PARAMETERS angstrom
6.6013 0.0000 0.0000
0.0000 6.6013 0.0000
0.0000 0.0000 5.4617
```

Properties
- uncorrected energy (eV/atom) = -18.852
- formation energy (meV/atom) = 222
- space-group type = P4/mmm
- volume (Å³/cell) = 238.0

# TiTl3S

A PBEsol-optimized structure of TiTl3S (SCAN, Alexandria). Values from VASP.

```
&SYSTEM
  ibrav = 0, nat = 5, ntyp = 3
/
ATOMIC_SPECIES
Ti 47.87 Ti.upf
Tl 204.38 Tl.upf
S 32.06 S.upf
ATOMIC_POSITIONS angstrom
Ti 0.0000 0.0000 0.0000
Tl 0.0000 2.6351 2.6351
Tl 2.6351 0.0000 2.6351
Tl 2.6351 2.6351 0.0000
S 2.6351 2.6351 2.6351
CELL_PARAMETERS angstrom
5.2703 0.0000 0.0000
0.0000 5.2703 0.0000
0.0000 0.0000 5.2703
```

Properties
- uncorrected energy (eV/atom) = -47.849
- space-group type = Pm-3m
- formation energy without anion corrections (eV per atom) = 0.70
- volume (Å³/cell) = 146.4

# BaBiB2Te

A PBEsol-optimized structure of BaBiB2Te (SCAN, Alexandria). Values from VASP.

```
&SYSTEM
  ibrav = 0, nat = 5, ntyp = 4
/
ATOMIC_SPECIES
Ba 137.33 Ba.upf
Bi 208.98 Bi.upf
B 10.81 B.upf
Te 127.60 Te.upf
ATOMIC_POSITIONS angstrom
Ba 0.0000 0.0000 0.0000
Bi 2.3903 2.3903 0.0000
B 0.0000 2.3903 2.9681
B 2.3903 0.0000 2.9681
Te 2.3903 2.3903 2.9681
CELL_PARAMETERS angstrom
4.7805 0.0000 0.0000
0.0000 4.7805 0.0000
0.0000 0.0000 5.9362
```

Properties
- uncorrected energy (eV/atom) = -32.862
- space-group type = P4/mmm
- formation energy without anion corrections (eV per atom) = 1.19
- volume (Å³/cell) = 135.7

# LaAgRu2

A PBEsol-optimized structure of LaAgRu2 (SCAN, Alexandria). Values from VASP.

```
&SYSTEM
  ibrav = 0, nat = 4, ntyp = 3
/
ATOMIC_SPECIES
La 138.91 La.upf
Ag 107.87 Ag.upf
Ru 101.07 Ru.upf
ATOMIC_POSITIONS angstrom
La 0.0000 0.0000 0.0000
Ag 2.0907 2.0907 0.0000
Ru 0.0000 2.0907 2.0177
Ru 2.0907 0.0000 2.0177
CELL_PARAMETERS angstrom
4.1813 0.0000 0.0000
0.0000 4.1813 0.0000
0.0000 0.0000 4.0355
```

Properties
- uncorrected energy (eV/atom) = -35.675
- formation energy (meV/atom) = 356
- space-group type = P4/mmm
- volume (Å³/cell) = 70.6

# SrScI2O

A PBEsol-optimized structure of SrScI2O (SCAN, Alexandria). Values from VASP.

```
&SYSTEM
  ibrav = 0, nat = 5, ntyp = 4
/
ATOMIC_SPECIES
Sr 87.62 Sr.upf
Sc 44.96 Sc.upf
I 126.90 I.upf
O 16.00 O.upf
ATOMIC_POSITIONS angstrom
Sr 0.0000 0.0000 0.0000
Sc 3.0943 3.0943 2.1327
I 0.0000 3.0943 0.0000
I 3.0943 0.0000 0.0000
O 0.0000 0.0000 2.1327
CELL_PARAMETERS angstrom
6.1885 0.0000 0.0000
0.0000 6.1885 0.0000
0.0000 0.0000 4.2653
```

Properties
- uncorrected energy (eV/atom) = -24.093
- space-group type = P4/mmm
- formation energy without anion corrections (eV per atom) = -0.85
- volume (Å³/cell) = 163.4

# Ba2CdOsO6

A PBEsol-optimized structure of Ba2CdOsO6 (SCAN, Alexandria). Values from VASP.

```
&SYSTEM
  ibrav = 0, nat = 10, ntyp = 4
/
ATOMIC_SPECIES
Ba 137.33 Ba.upf
Cd 112.41 Cd.upf
Os 190.23 Os.upf
O 16.00 O.upf
ATOMIC_POSITIONS angstrom
Ba 2.0806 2.0806 2.0806
Ba 6.2419 6.2419 6.2419
Cd 0.0000 0.0000 0.0000
Os 4.1612 4.1612 4.1612
O 4.1612 4.1612 2.2354
O 4.1612 2.2354 4.1612
O 6.0871 4.1612 4.1612
O 2.2354 4.1612 4.1612
O 4.1612 6.0871 4.1612
O 4.1612 4.1612 6.0871
CELL_PARAMETERS angstrom
0.0000 4.1612 4.1612
4.1612 0.0000 4.1612
4.1612 4.1612 0.0000
```

Properties
- uncorrected energy (eV/atom) = -23.900
- space-group type = Fm-3m
- formation energy without anion corrections (eV per atom) = -2.02
- volume (Å³/cell) = 144.1

# ZrCl3

A PBEsol-optimized structure of ZrCl3 (SCAN, Alexandria). Values from VASP.

```
&SYSTEM
  ibrav = 0, nat = 16, ntyp = 2
/
ATOMIC_SPECIES
Zr 91.22 Zr.upf
Cl 35.45 Cl.upf
ATOMIC_POSITIONS angstrom
Zr 0.0000 1.5153 0.0000
Zr 0.0000 9.0191 0.0000
Zr 3.1680 3.7519 0.0000
Zr 3.1680 6.7825 0.0000
Cl 1.0142 0.0000 1.6750
Cl 1.1531 3.4218 1.4077
Cl 1.1531 7.1125 1.4077
Cl 0.1541 1.8454 4.8413
Cl 0.1541 8.6890 4.8413
Cl 0.2930 5.2672 4.5740
Cl 4.1822 5.2672 1.6750
Cl 4.3211 1.8454 1.4077
Cl 4.3211 8.6890 1.4077
Cl 3.3222 3.4218 4.8413
Cl 3.3222 7.1125 4.8413
Cl 3.4610 0.0000 4.5740
CELL_PARAMETERS angstrom
6.3360 0.0000 0.0000
0.0000 10.5343 0.0000
-1.8608 0.0000 6.2490
```

Properties
- uncorrected energy (eV/atom) = -15.623
- space-group type = C2/m
- formation energy without anion corrections (eV per atom) = -1.96
- volume (Å³/cell) = 417.1

# In3Mo15Se19

A PBEsol-optimized structure of In3Mo15Se19 (SCAN, Alexandria). Values from VASP.

```
&SYSTEM
  ibrav = 0, nat = 74, ntyp = 3
/
ATOMIC_SPECIES
In 114.82 In.upf
Mo 95.94 Mo.upf
Se 78.96 Se.upf
ATOMIC_POSITIONS angstrom
In -1.1440 4.8387 2.7055
In 2.5609 2.3614 1.4126
In 2.5609 7.3161 1.4126
In 2.3046 12.0388 7.0486
In 2.3046 16.9936 7.0486
In 6.0095 14.5162 5.7557
Mo -3.0332 10.8026 5.6208
Mo -3.0332 18.2298 5.6208
Mo -0.8629 10.7716 4.0985
Mo -0.8629 18.2609 4.0985
Mo 1.5254 14.5162 0.0976
Mo -1.4740 1.0939 5.5022
Mo -1.4740 8.5836 5.5022
Mo 0.9061 12.2808 1.5942
Mo 0.9061 16.7516 1.5942
Mo 3.0542 12.2708 0.0473
Mo 3.0542 16.7616 0.0473
Mo 1.7038 14.5162 2.8206
Mo 3.9613 14.5162 1.3116
Mo 3.3019 12.2520 2.6713
Mo 3.3019 16.7805 2.6713
Mo 1.5636 2.5745 5.7899
Mo 1.5636 7.1030 5.7899
Mo 0.9042 4.8387 7.1496
Mo 3.1617 4.8387 5.6406
Mo 1.8112 2.5934 8.4139
Mo 1.8112 7.0841 8.4139
Mo 3.9594 2.6033 6.8670
Mo 3.9594 7.0742 6.8670
Mo 6.3394 10.7713 2.9590
Mo 6.3394 18.2611 2.9590
Mo 3.3400 4.8387 8.3636
Mo 5.7283 1.0941 4.3627
Mo 5.7283 8.5834 4.3627
Mo 7.8986 1.1251 2.8404
Mo 7.8986 8.5523 2.8404
Se -2.4148 3.1178 4.3663
Se -2.4148 6.5597 4.3663
Se -4.1619 12.2813 7.5236
Se -4.1619 16.7512 7.5236
Se -3.5960 0.9582 6.9502
Se -3.5960 8.7193 6.9502
Se -0.5482 14.5162 1.6176
Se 0.5688 1.0142 3.8936
Se 0.5688 8.6633 3.8936
Se -1.0265 14.5162 7.2191
Se -0.6568 10.6961 6.6667
Se -0.6568 18.3363 6.6667
Se 2.4250 10.2642 1.4356
Se 2.4250 18.7682 1.4356
Se 0.8276 4.8387 4.5954
Se 1.2127 12.4190 4.1804
Se 1.2127 16.6134 4.1804
Se -0.5318 2.7409 7.3543
Se -0.5318 6.9366 7.3543
Se 5.3973 12.4184 1.1069
Se 5.3973 16.6141 1.1069
Se 3.6528 2.7415 4.2807
Se 3.6528 6.9359 4.2807
Se 4.0379 14.5162 3.8658
Se 2.4405 0.5867 7.0256
Se 2.4405 9.0907 7.0256
Se 5.5223 1.0187 1.7945
Se 5.5223 8.6588 1.7945
Se 5.8920 4.8387 1.2421
Se 4.2967 10.6917 4.5676
Se 4.2967 18.3407 4.5676
Se 5.4137 4.8387 6.8436
Se 8.4614 10.6356 1.5110
Se 8.4614 18.3968 1.5110
Se 9.0274 2.6038 0.9376
Se 9.0274 7.0737 0.9376
Se 7.2803 12.7952 4.0949
Se 7.2803 16.2372 4.0949
CELL_PARAMETERS angstrom
9.6489 0.0000 0.0000
0.0000 19.3550 0.0000
-4.7834 0.0000 8.4612
```

Properties
- uncorrected energy (eV/atom) = -27.698
- space-group type = P2_1/m
- formation energy without anion corrections (eV per atom) = -0.54
- volume (Å³/cell) = 1580.2

# ZnHBr

A PBEsol-optimized structure of ZnHBr (SCAN, Alexandria). Values from VASP.

```
&SYSTEM
  ibrav = 0, nat = 12, ntyp = 3
/
ATOMIC_SPECIES
Zn 65.41 Zn.upf
H 1.01 H.upf
Br 79.90 Br.upf
ATOMIC_POSITIONS angstrom
Zn 0.0000 0.7428 0.0000
Zn 0.0000 12.4031 2.3494
Zn 1.9023 5.8302 2.3494
Zn 1.9023 7.3158 0.0000
H 0.0000 0.7619 1.6534
H 0.0000 12.3840 4.0029
H 1.9023 5.8110 4.0029
H 1.9023 7.3349 1.6534
Br 0.0000 4.4913 1.6551
Br 0.0000 8.6546 4.0045
Br 1.9023 2.0817 4.0045
Br 1.9023 11.0643 1.6551
CELL_PARAMETERS angstrom
3.8047 0.0000 0.0000
0.0000 13.1459 0.0000
0.0000 0.0000 4.6989
```

Properties
- uncorrected energy (eV/atom) = -12.592
- space-group type = Cmc2_1
- volume (Å³/cell) = 235.0

# Fe3H9S2O15

A PBEsol-optimized structure of Fe3H9S2O15 (SCAN, Alexandria). Values from VASP.

```
&SYSTEM
  ibrav = 0, nat = 29, ntyp = 4
/
ATOMIC_SPECIES
Fe 55.84 Fe.upf
H 1.01 H.upf
S 32.06 S.upf
O 16.00 O.upf
ATOMIC_POSITIONS angstrom
Fe -1.7874 -1.0320 5.5676
Fe 1.7874 -1.0320 5.5676
Fe 0.0000 2.0639 5.5676
H 0.0000 -2.4910 6.5213
H -2.1572 1.2455 6.5213
H -2.2201 -1.2818 10.2530
H -0.7856 -0.4536 8.9488
H 0.7856 -0.4536 8.9488
H 0.0000 0.9072 8.9488
H 2.1572 1.2455 6.5212
H 2.2201 -1.2818 10.2530
H 0.0000 2.5635 10.2530
S 0.0000 0.0000 3.1102
S 0.0000 0.0000 13.5654
O -2.3951 -1.3828 7.5157
O 0.0000 0.0000 1.6203
O 0.0000 -1.6355 6.0055
O -1.4164 0.8177 6.0055
O 0.0000 -2.7675 9.1577
O -2.3967 1.3837 9.1577
O -1.3937 -0.8046 10.5532
O 0.0000 0.0000 8.4860
O 1.4164 0.8177 6.0055
O 2.3951 -1.3828 7.5157
O 0.0000 2.7657 7.5157
O 1.3937 -0.8046 10.5532
O 0.0000 1.6093 10.5532
O 0.0000 0.0000 15.0556
O 2.3967 1.3838 9.1577
CELL_PARAMETERS angstrom
3.6134 2.0862 5.5676
-3.6134 2.0862 5.5676
0.0000 -4.1724 5.5676
```

Properties
- uncorrected energy (eV/atom) = -8.178
- space-group type = R3m
- volume (Å³/cell) = 251.8

# Ca2SbPt

A PBEsol-optimized structure of Ca2SbPt (SCAN, Alexandria). Values from VASP.

```
&SYSTEM
  ibrav = 0, nat = 4, ntyp = 3
/
ATOMIC_SPECIES
Ca 40.08 Ca.upf
Sb 121.76 Sb.upf
Pt 195.08 Pt.upf
ATOMIC_POSITIONS angstrom
Ca 0.0000 2.6110 0.0000
Ca 2.6110 0.0000 0.0000
Sb 0.0000 0.0000 1.7242
Pt 2.6110 2.6110 1.7242
CELL_PARAMETERS angstrom
5.2220 0.0000 0.0000
0.0000 5.2220 0.0000
0.0000 0.0000 3.4484
```

Properties
- uncorrected energy (eV/atom) = -32.553
- space-group type = P4/mmm
- formation energy without anion corrections (eV per atom) = -0.86
- volume (Å³/cell) = 94.0

# LiAu2

A PBEsol-optimized structure of LiAu2 (SCAN, Alexandria). Values from VASP.

```
&SYSTEM
  ibrav = 0, nat = 3, ntyp = 2
/
ATOMIC_SPECIES
Li 6.94 Li.upf
Au 196.97 Au.upf
ATOMIC_POSITIONS angstrom
Li 0.0000 0.0000 0.0000
Au 0.0000 2.5476 0.7678
Au 2.2063 1.2738 2.0206
CELL_PARAMETERS angstrom
4.4126 0.0000 0.0000
-2.2063 3.8214 0.0000
0.0000 0.0000 2.7885
```

Properties
- uncorrected energy (eV/atom) = -47.339
- formation energy (meV/atom) = -438
- space-group type = P-3m1
- volume (Å³/cell) = 47.0

# TcAg2Cl

A PBEsol-optimized structure of TcAg2Cl (SCAN, Alexandria). Values from VASP.

```
&SYSTEM
  ibrav = 0, nat = 8, ntyp = 3
/
ATOMIC_SPECIES
Tc 98.00 Tc.upf
Ag 107.87 Ag.upf
Cl 35.45 Cl.upf
ATOMIC_POSITIONS angstrom
Tc 0.0000 0.0000 0.0000
Tc 2.2960 2.2960 3.2373
Ag 0.0000 0.0000 3.2373
Ag 0.0000 2.2960 1.6187
Ag 2.2960 0.0000 4.8560
Ag 2.2960 2.2960 0.0000
Cl 0.0000 2.2960 4.8560
Cl 2.2960 0.0000 1.6187
CELL_PARAMETERS angstrom
4.5920 0.0000 0.0000
0.0000 4.5920 0.0000
0.0000 0.0000 6.4747
```

Properties
- uncorrected energy (eV/atom) = -25.726
- polymorph energy (0 for the lowest one) (meV per atom) = 180
- space-group type = I-4m2
- formation energy without anion corrections (eV per atom) = 0.72
- volume (Å³/cell) = 136.5